Entry one
Crystalline Sm3Mg2 at its relaxed geometry. Source: Alexandria via LeMat-Bulk, functional PBE.

a b c (Å): 5.5004 5.5004 17.0635
angles (deg): 90.00 90.00 120.00
Space group R-3m (No. 166, hexagonal axes)
Symmetry-distinct sites (fractional):
Sm  0.0000  0.0000  0.0000 [3 per cell]
Sm  0.0000  0.0000  0.2141 [6 per cell]
Mg  0.0000  0.0000  0.4113 [6 per cell]

## Properties
M_tot ... 0.00 μB per cell
Calculated volume ... 447.1 Å³/cell
Density ... 5.57 g/cm³

Entry two
Crystalline Sm3Mg2 at its relaxed geometry. Source: Alexandria via LeMat-Bulk, functional PBE.

a b c (Å): 3.794 3.794 20.597
angles (deg): 90.00 90.00 90.00
Space group P4/mmm (No. 123)
Symmetry-distinct sites (fractional):
Sm  0.000  0.000  0.000 [1 per cell]
Sm  0.000  0.000  0.189 [2 per cell]
Sm  0.000  0.000  0.380 [2 per cell]
Sm  0.500  0.500  0.500 [1 per cell]
Mg  0.500  0.500  0.095 [2 per cell]
Mg  0.500  0.500  0.284 [2 per cell]

## Properties
M_tot ... 0.00 μB per cell
Calculated volume ... 296.5 Å³/cell
Density ... 5.60 g/cm³

Energies in meV/atom, measured from the most stable structure: entry one 34; entry two 0.

Entry one
Crystalline SmMg6 at its relaxed geometry. Source: Alexandria via LeMat-Bulk, functional PBE.

a b c (Å): 9.583 5.937 12.201
angles (deg): 90.00 90.00 90.00
Space group Pnma (No. 62)
Symmetry-distinct sites (fractional):
Sm  0.246  0.250  0.063 [4 per cell]
Mg  0.054  0.750  0.084 [4 per cell]
Mg  0.062  0.010  0.307 [8 per cell]
Mg  0.093  0.250  0.518 [4 per cell]
Mg  0.144  0.750  0.850 [4 per cell]
Mg  0.193  0.250  0.751 [4 per cell]

## Properties
M_tot ... 0.00 μB per cell
Calculated volume ... 694.2 Å³/cell
Density ... 2.83 g/cm³

Entry two
Crystalline SmMg6 at its relaxed geometry. Source: Alexandria via LeMat-Bulk, functional PBE.

a b c (Å): 7.688 7.688 7.688
angles (deg): 90.00 90.00 90.00
Space group Im-3m (No. 229)
Symmetry-distinct sites (fractional):
Sm  0.000  0.000  0.000 [2 per cell]
Mg  0.000  0.250  0.500 [12 per cell]

## Properties
M_tot ... 0.00 μB per cell
Calculated volume ... 454.5 Å³/cell
Density ... 2.16 g/cm³

Energies in meV/atom, measured from the most stable structure: entry one 0; entry two 708.